{"formula": "KSiMoO6", "functional": "GGA+U", "state": "relaxed", "cell": [[5.066, 0.000, 0.000], [2.533, 4.387, 0.000], [0.000, 0.000, 5.958]], "species": ["O", "O", "O", "O", "O", "O", "Si", "K", "Mo"], "fractional_positions": [[0.618, 0.404, 0.673], [0.404, 0.618, 0.327], [0.979, 0.404, 0.327], [0.979, 0.618, 0.673], [0.404, 0.979, 0.673], [0.618, 0.979, 0.327], [0.667, 0.667, 0.500], [0.000, 0.000, 0.000], [0.333, 0.333, 0.500]], "energy_ev_per_cell": -59.1, "density_kg_m3": 3249, "dos_at_fermi_per_ev_atom": 0.46, "magmom_total_mub_per_fu": 1.07, "crystal_system": "trigonal"}